Record 1
Material: TcHg3
Method: DFT, PBE-GGA
State: relaxed

- Energy of formation from the pure elements: 0.53 eV/atom
- E above lowest polymorph: 191 meV per atom
- Spin magnetization: 0.89 μB per cell
- Volume: 82 Å³ per cell

Cell lengths 10.3024, 10.3024, 10.3024 Å; angles 17.10, 17.10, 17.10 degrees
Fractional coordinates of all 4 atoms:
Tc (0.0000, 0.0000, 0.0000)
Hg (0.2580, 0.2580, 0.2580)
Hg (0.5000, 0.5000, 0.5000)
Hg (0.7420, 0.7420, 0.7420)



Record 2
Material: SbMoSe2
Method: DFT, PBE-GGA
State: relaxed

- Spin magnetization: 0.00 μB per cell
- Volume: 90 Å³ per cell
- E_form (uncorrected): -0.115 eV/atom

Cell lengths 4.9418, 4.9418, 6.2191 Å; angles 104.47, 104.47, 38.04 degrees
Fractional coordinates of all 4 atoms:
Sb (0.0000, 0.0000, 0.0000)
Mo (0.6528, 0.6528, 0.3841)
Se (0.1860, 0.1860, 0.7089)
Se (0.3535, 0.3535, 0.3425)



Record 3
Material: SrLiCa2Ag
Method: DFT, PBE-GGA
State: relaxed

- Energy of formation from the pure elements: 0.01 eV/atom
- E above lowest polymorph: 22 meV per atom
- Spin magnetization: 0.00 μB per cell
- Volume: 208 Å³ per cell

Cell lengths 5.8355, 5.8355, 6.1001 Å; angles 90.00, 90.00, 90.00 degrees
Fractional coordinates of all 5 atoms:
Sr (0.0000, 0.0000, 0.0000)
Li (0.5000, 0.5000, 0.0000)
Ca (0.0000, 0.5000, 0.5000)
Ca (0.5000, 0.0000, 0.5000)
Ag (0.0000, 0.0000, 0.5000)



Record 4
Material: YCu
Method: DFT, PBE-GGA
State: relaxed

- Energy of formation from the pure elements: -0.08 eV/atom
- Spin magnetization: 0.00 μB per cell
- Volume: 179 Å³ per cell

Cell lengths 5.6377, 5.6377, 5.6377 Å; angles 90.00, 90.00, 90.00 degrees
Fractional coordinates of all 8 atoms:
Y (0.0619, 0.0619, 0.0619)
Y (0.4381, 0.9381, 0.5619)
Y (0.5619, 0.4381, 0.9381)
Y (0.9381, 0.5619, 0.4381)
Cu (0.0717, 0.5717, 0.9283)
Cu (0.4283, 0.4283, 0.4283)
Cu (0.5717, 0.9283, 0.0717)
Cu (0.9283, 0.0717, 0.5717)



Record 5
Material: ScSiIr2
Method: DFT, PBE-GGA
State: relaxed

- Spin magnetization: 0.00 μB per cell
- Volume: 63 Å³ per cell
- E_form (uncorrected): -0.542 eV/atom

Cell lengths 3.4011, 3.4011, 5.4281 Å; angles 90.00, 90.00, 90.00 degrees
Fractional coordinates of all 4 atoms:
Sc (0.0000, 0.0000, 0.0000)
Si (0.5000, 0.5000, 0.3139)
Ir (0.0000, 0.0000, 0.4697)
Ir (0.5000, 0.5000, 0.7970)



Record 6
Material: ScZn
Method: DFT, PBE-GGA
State: relaxed

- Energy of formation from the pure elements: -0.25 eV/atom
- Spin magnetization: 0.63 μB per cell
- Volume: 76 Å³ per cell

Cell lengths 5.7107, 5.7107, 5.7107 Å; angles 146.87, 131.03, 60.41 degrees
Fractional coordinates of all 4 atoms:
Sc (0.3604, 0.1104, 0.2500)
Sc (0.6396, 0.8896, 0.7500)
Zn (0.1008, 0.3508, 0.7500)
Zn (0.8992, 0.6492, 0.2500)



Record 7
Material: Na10B17C3
Method: DFT, PBE-GGA
State: relaxed

- Energy of formation from the pure elements: 0.21 eV/atom
- E above lowest polymorph: 1 meV per atom
- Spin magnetization: 0.00 μB per cell
- Volume: 328 Å³ per cell

Cell lengths 11.8654, 11.8654, 10.2163 Å; angles 105.60, 105.60, 13.69 degrees
Fractional coordinates of all 30 atoms:
Na (0.0000, 0.0000, 0.0000)
Na (0.0998, 0.0998, 0.6976)
Na (0.1990, 0.1990, 0.3926)
Na (0.2981, 0.2981, 0.0954)
Na (0.3997, 0.3997, 0.7975)
Na (0.5001, 0.5001, 0.4974)
Na (0.5993, 0.5993, 0.1964)
Na (0.6987, 0.6987, 0.8953)
Na (0.7983, 0.7983, 0.5948)
Na (0.8993, 0.8993, 0.2963)
B (0.0219, 0.0219, 0.2901)
B (0.0873, 0.0873, 0.4207)
B (0.1164, 0.1164, 0.9810)
B (0.2141, 0.2141, 0.6775)
B (0.2764, 0.2764, 0.8019)
B (0.3154, 0.3154, 0.3790)
B (0.3791, 0.3791, 0.5062)
B (0.4200, 0.4200, 0.0879)
B (0.4838, 0.4838, 0.2143)
B (0.5269, 0.5269, 0.8015)
B (0.6751, 0.6751, 0.5977)
B (0.7077, 0.7077, 0.1640)
B (0.7749, 0.7749, 0.2977)
B (0.8176, 0.8176, 0.8841)
B (0.8799, 0.8799, 0.0082)
B (0.9226, 0.9226, 0.5929)
B (0.9854, 0.9854, 0.7181)
C (0.1774, 0.1774, 0.1037)
C (0.5857, 0.5857, 0.9192)
C (0.6167, 0.6167, 0.4796)



Record 8
Material: Sm5DyY2Ho
Method: DFT, PBE-GGA
State: relaxed

- Energy of formation from the pure elements: 0.15 eV/atom
- Spin magnetization: 0.00 μB per cell
- Volume: 607 Å³ per cell

Cell lengths 10.4809, 10.4809, 10.6390 Å; angles 90.00, 90.00, 148.69 degrees
Fractional coordinates of all 18 atoms:
Sm (0.0183, 0.9817, 0.5000)
Sm (0.2815, 0.7185, 0.7898)
Sm (0.2981, 0.7019, 0.1850)
Sm (0.3894, 0.6106, 0.5020)
Sm (0.4806, 0.5194, 0.2214)
Sm (0.5194, 0.4806, 0.7214)
Sm (0.6106, 0.3894, 0.0020)
Sm (0.7019, 0.2981, 0.6850)
Sm (0.7185, 0.2815, 0.2898)
Sm (0.9817, 0.0183, 0.0000)
Dy (0.4106, 0.5894, 0.9388)
Dy (0.5894, 0.4106, 0.4388)
Y (0.1114, 0.8886, 0.2154)
Y (0.1153, 0.8847, 0.7959)
Y (0.8847, 0.1153, 0.2959)
Y (0.8886, 0.1114, 0.7154)
Ho (0.2002, 0.7998, 0.4894)
Ho (0.7998, 0.2002, 0.9894)



Record 9
Material: LaTb5CeNd2
Method: DFT, PBE-GGA
State: relaxed

- Energy of formation from the pure elements: 0.26 eV/atom
- Spin magnetization: 2.22 μB per cell
- Volume: 600 Å³ per cell

Cell lengths 10.0112, 10.0112, 10.0112 Å; angles 128.36, 128.36, 76.04 degrees
Fractional coordinates of all 18 atoms:
La (0.2500, 0.2500, 0.0000)
La (0.7500, 0.7500, 0.0000)
Tb (0.0000, 0.0000, 0.0000)
Tb (0.0634, 0.5634, 0.9034)
Tb (0.1599, 0.0634, 0.5000)
Tb (0.3401, 0.8401, 0.9034)
Tb (0.4366, 0.3401, 0.5000)
Tb (0.5000, 0.5000, 0.0000)
Tb (0.5634, 0.6599, 0.5000)
Tb (0.6599, 0.1599, 0.0966)
Tb (0.8401, 0.9366, 0.5000)
Tb (0.9366, 0.4366, 0.0966)
Ce (0.2500, 0.7500, 0.5000)
Ce (0.7500, 0.2500, 0.5000)
Nd (0.1209, 0.3791, 0.5000)
Nd (0.3791, 0.8791, 0.2581)
Nd (0.6209, 0.1209, 0.7419)
Nd (0.8791, 0.6209, 0.5000)



Record 10
Material: AlAgSb2Pb
Method: DFT, PBE-GGA
State: relaxed

- Spin magnetization: 0.00 μB per cell
- Volume: 161 Å³ per cell
- E_form (uncorrected): 0.665 eV/atom

Cell lengths 5.3682, 5.3682, 5.5963 Å; angles 90.00, 90.00, 90.00 degrees
Fractional coordinates of all 5 atoms:
Al (0.0000, 0.0000, 0.0000)
Ag (0.5000, 0.5000, 0.5000)
Sb (0.0000, 0.5000, 0.5000)
Sb (0.5000, 0.0000, 0.5000)
Pb (0.5000, 0.5000, 0.0000)



Record 11
Material: FeNi3Ir
Method: DFT, PBE-GGA
State: relaxed

- Energy of formation from the pure elements: 0.20 eV/atom
- E above lowest polymorph: 103 meV per atom
- Spin magnetization: 5.58 μB per cell
- Volume: 64 Å³ per cell

Cell lengths 4.3603, 4.3603, 4.2591 Å; angles 114.19, 114.19, 65.16 degrees
Fractional coordinates of all 5 atoms:
Fe (0.0000, 0.0000, 0.0000)
Ni (0.3540, 0.8446, 0.6031)
Ni (0.3714, 0.3714, 0.0647)
Ni (0.8446, 0.3540, 0.6031)
Ir (0.7476, 0.7476, 0.2341)



Record 12
Material: LiTl
Method: DFT, PBE-GGA
State: relaxed

- Energy of formation from the pure elements: -0.18 eV/atom
- Spin magnetization: 0.00 μB per cell
- Volume: 133 Å³ per cell

Cell lengths 5.7175, 5.7175, 7.1954 Å; angles 107.95, 107.95, 36.81 degrees
Fractional coordinates of all 6 atoms:
Li (0.0000, 0.0000, 0.0000)
Li (0.0410, 0.0410, 0.5616)
Li (0.6936, 0.6936, 0.3315)
Tl (0.3435, 0.3435, 0.6688)
Tl (0.3950, 0.3950, 0.2336)
Tl (0.6826, 0.6826, 0.8982)



Record 13
Material: LuPaTcGe
Method: DFT, PBE-GGA
State: relaxed

- Energy of formation from the pure elements: -0.20 eV/atom
- Spin magnetization: 0.00 μB per cell
- Volume: 84 Å³ per cell

Cell lengths 4.9079, 4.9079, 4.9079 Å; angles 60.00, 60.00, 60.00 degrees
Fractional coordinates of all 4 atoms:
Lu (0.0000, 0.0000, 0.0000)
Pa (0.5000, 0.5000, 0.5000)
Tc (0.2500, 0.2500, 0.2500)
Ge (0.7500, 0.7500, 0.7500)



Record 14
Material: TcSbCl2
Method: DFT, PBE-GGA
State: relaxed

- E above lowest polymorph: 527 meV per atom
- Spin magnetization: 2.23 μB per cell
- Volume: 104 Å³ per cell
- E_form (uncorrected): 0.303 eV/atom

Cell lengths 3.0525, 3.0525, 11.1109 Å; angles 90.00, 90.00, 90.00 degrees
Fractional coordinates of all 4 atoms:
Tc (0.0000, 0.0000, 0.0000)
Sb (0.0000, 0.0000, 0.5000)
Cl (0.5000, 0.5000, 0.1385)
Cl (0.5000, 0.5000, 0.8615)



Record 15
Material: NaNdInBi
Method: DFT, PBE-GGA
State: relaxed

- Energy of formation from the pure elements: -0.33 eV/atom
- Spin magnetization: 0.00 μB per cell
- Volume: 119 Å³ per cell

Cell lengths 5.5199, 5.5199, 5.5199 Å; angles 60.00, 60.00, 60.00 degrees
Fractional coordinates of all 4 atoms:
Na (0.0000, 0.0000, 0.0000)
Nd (0.5000, 0.5000, 0.5000)
In (0.2500, 0.2500, 0.2500)
Bi (0.7500, 0.7500, 0.7500)



Record 16
Material: Dy2TmMg
Method: DFT, PBE-GGA
State: relaxed

- Energy of formation from the pure elements: 0.04 eV/atom
- E above lowest polymorph: 65 meV per atom
- Spin magnetization: 0.00 μB per cell
- Volume: 116 Å³ per cell

Cell lengths 5.4673, 5.4673, 5.4673 Å; angles 60.00, 60.00, 60.00 degrees
Fractional coordinates of all 4 atoms:
Dy (0.2500, 0.2500, 0.2500)
Dy (0.7500, 0.7500, 0.7500)
Tm (0.0000, 0.0000, 0.0000)
Mg (0.5000, 0.5000, 0.5000)



Record 17
Material: LaPuAg2Te4
Method: DFT, PBE-GGA
State: relaxed

- Spin magnetization: 5.36 μB per cell
- Volume: 247 Å³ per cell
- E_form (uncorrected): -0.678 eV/atom

Cell lengths 6.8508, 6.8508, 6.8508 Å; angles 111.80, 111.13, 105.56 degrees
Fractional coordinates of all 8 atoms:
La (0.0000, 0.0000, 0.0000)
Pu (0.5000, 0.5000, 0.0000)
Ag (0.3289, 0.8289, 0.5000)
Ag (0.6711, 0.1711, 0.5000)
Te (0.0456, 0.0456, 0.5120)
Te (0.4664, 0.9544, 0.0000)
Te (0.5336, 0.5336, 0.4880)
Te (0.9544, 0.4664, 0.0000)



Record 18
Material: YScO3
Method: DFT, PBE-GGA
State: relaxed

- Spin magnetization: 0.00 μB per cell
- Volume: 134 Å³ per cell
- E_form (uncorrected): -3.492 eV/atom

Cell lengths 5.9089, 5.9089, 5.9089 Å; angles 56.41, 56.41, 56.41 degrees
Fractional coordinates of all 10 atoms:
Y (0.1376, 0.1376, 0.1376)
Y (0.8624, 0.8624, 0.8624)
Sc (0.3522, 0.3522, 0.3522)
Sc (0.6478, 0.6478, 0.6478)
O (0.0529, 0.7256, 0.4621)
O (0.2744, 0.5379, 0.9471)
O (0.4621, 0.0529, 0.7256)
O (0.5379, 0.9471, 0.2744)
O (0.7256, 0.4621, 0.0529)
O (0.9471, 0.2744, 0.5379)